LiCd2Ag: single point on PBEsol structure, SCAN.

Values from the calculation:
formation energy from the elements: -0.78 eV/f.u.
crystal system: cubic
size of the total moment: 0.000 μB/f.u.

The structure in POSCAR format:
```
LiCd2Ag
1.0
0.000 3.290 3.290
3.290 0.000 3.290
3.290 3.290 0.000
Li Cd Ag
1 2 1
Direct
0.000 0.000 0.000 Li
0.250 0.250 0.250 Cd
0.500 0.500 0.500 Cd
0.750 0.750 0.750 Ag
```

***

Sc2PPb: single point on PBEsol structure, SCAN.

Values from the calculation:
formation energy from the elements: -3.44 eV/f.u.
crystal system: orthorhombic
size of the total moment: 0.000 μB/f.u.

The structure in POSCAR format:
```
Sc2PPb
1.0
2.014 -2.600 0.000
2.014 2.600 0.000
0.000 0.000 7.821
Sc P Pb
2 1 1
Direct
0.000 0.000 0.206 Sc
0.000 0.000 0.794 Sc
0.500 0.500 0.000 P
0.500 0.500 0.500 Pb
```

***

Taking the records one at a time from the top gives N(E_F) values of 0.87 2.53 states/eV per cell.